SiTc after structural relaxation. Source: Alexandria via LeMat-Bulk, functional PBE.

a b c (Å): 2.759 2.759 7.662
angles (deg): 90.00 90.00 90.00
Fractional positions:
Tc1 0.250 0.250 0.117
Si1 0.250 0.250 0.653
Tc2 0.750 0.750 0.883
Si2 0.750 0.750 0.347

Properties
formation energy from raw total energies: 0.026 eV/atom
volume: 58.32 Å³ per cell
space-group type: No. 129
final energy: -7.869 eV/atom